Here is crystalline LiMnF3 at its relaxed geometry from Alexandria. Energies are from GGA+U.

Geometry as extended XYZ:
```
5
Lattice="3.682 0.000 0.000 0.000 3.682 0.000 0.000 0.000 3.682" Properties=species:S:1:pos:R:3 pbc="T T T"
Li 0.000 0.000 0.000
Mn 1.841 1.841 1.841
F 0.000 0.000 1.841
F 0.000 1.841 0.000
F 1.841 0.000 0.000
```

Values from the calculation:
The theoretical density is 3.96 g/cm3. Its polymorph energy (0 for the lowest one) is 336 meV per atom. The symmetry is Pm-3m (221). The electronic total energy is -5.437 eV/atom.